Material: Ac3TlIn2Pd6
Method: DFT, PBE
State: relaxed

Cell and atoms, written as CIF:
```
data_Ac3TlIn2Pd6
_space_group_name_H-M_alt 'P -3 m 1'
_space_group_IT_number 164
_space_group_name_Hall '-P 3 2"'
_cell_length_a 6.0241
_cell_length_b 6.0241
_cell_length_c 9.1856
_cell_angle_alpha 90.00
_cell_angle_beta 90.00
_cell_angle_gamma 120.00
loop_
_atom_site_label
_atom_site_type_symbol
_atom_site_fract_x
_atom_site_fract_y
_atom_site_fract_z
Ac1 Ac 0.0000 0.0000 0.0000
Ac2 Ac 0.3333 0.6667 0.6254
Tl1 Tl 0.0000 0.0000 0.5000
In1 In 0.3333 0.6667 0.0182
Pd1 Pd 0.1773 0.3545 0.2742
```

Output
The value obtained for the energy of formation from the pure elements is -614 meV per atom. As for the crystal system: trigonal. The value obtained for the spin magnetization is 0.00 μB per formula unit.